Computed, not measured: a relaxed EuTmH2 crystal at the PBE-GGA level of DFT.

Summary:
The size of the total moment is 7.25 μB/cell. The crystal system is trigonal.

Geometry as CIF:
```
data_EuTmH2
_chemical_formula_sum 'Eu1 Tm1 H2'
_cell_length_a 3.5343
_cell_length_b 3.5343
_cell_length_c 6.1940
_cell_angle_alpha 73.42
_cell_angle_beta 73.42
_cell_angle_gamma 60.00
_symmetry_space_group_name_H-M 'P 1'
_symmetry_Int_Tables_number 1
loop_
_symmetry_equiv_pos_as_xyz
'x,y,z'
loop_
_atom_site_label
_atom_site_fract_x
_atom_site_fract_y
_atom_site_fract_z
Eu1 0.5000 0.5000 0.5000
H1 0.7295 0.7295 0.8114
Tm1 0.0000 0.0000 0.0000
H2 0.2705 0.2705 0.1886
```


Computed, not measured: a relaxed LaPuTeSe crystal at the PBE-GGA level of DFT.

Summary:
The value obtained for the offset from the most stable computed form is 230 meV/atom. The size of the total moment is 6.88 μB/cell. The uncorrected formation energy comes out at -1.320 eV/atom. The crystal system is cubic.

Geometry as CIF:
```
data_LaPuTeSe
_chemical_formula_sum 'La1 Pu1 Te1 Se1'
_cell_length_a 5.3608
_cell_length_b 5.3608
_cell_length_c 5.3608
_cell_angle_alpha 60.00
_cell_angle_beta 60.00
_cell_angle_gamma 60.00
_symmetry_space_group_name_H-M 'P 1'
_symmetry_Int_Tables_number 1
loop_
_symmetry_equiv_pos_as_xyz
'x,y,z'
loop_
_atom_site_label
_atom_site_fract_x
_atom_site_fract_y
_atom_site_fract_z
Pu1 0.0000 0.0000 0.0000
Te1 0.7500 0.7500 0.7500
Se1 0.2500 0.2500 0.2500
La1 0.5000 0.5000 0.5000
```


Computed, not measured: a relaxed Ho4Zn5Au6 crystal at the PBE-GGA level of DFT.

Summary:
The size of the total moment is 0.00 μB/cell. The crystal system is orthorhombic. The formation energy from the elements comes out at -0.57 eV per atom.

Geometry as CIF:
```
data_Ho4Zn5Au6
_chemical_formula_sum 'Ho8 Zn10 Au12'
_cell_length_a 3.9001
_cell_length_b 10.9754
_cell_length_c 14.8318
_cell_angle_alpha 90.00
_cell_angle_beta 90.00
_cell_angle_gamma 100.23
_symmetry_space_group_name_H-M 'P 1'
_symmetry_Int_Tables_number 1
loop_
_symmetry_equiv_pos_as_xyz
'x,y,z'
loop_
_atom_site_label
_atom_site_fract_x
_atom_site_fract_y
_atom_site_fract_z
Zn1 0.3627 0.7253 0.9627
Ho1 0.1409 0.2818 0.2881
Au1 0.5882 0.1765 0.6306
Au2 0.4184 0.8369 0.4292
Au3 0.4118 0.8235 0.1306
Au4 0.7434 0.4868 0.2768
Zn2 0.4635 0.9269 0.6667
Au5 0.2167 0.4334 0.4821
Au6 0.5428 0.0855 0.3496
Au7 0.4572 0.9145 0.8496
Ho2 0.0228 0.0457 0.5074
Zn3 0.8271 0.6542 0.1448
Au8 0.2566 0.5132 0.7768
Zn4 0.6373 0.2747 0.4627
Ho3 0.8124 0.6248 0.4469
Zn5 0.6908 0.3816 0.1161
Ho4 0.9772 0.9543 0.0074
Ho5 0.9480 0.8960 0.2770
Zn6 0.5365 0.0731 0.1667
Au9 0.7833 0.5666 0.9821
Zn7 0.3325 0.6649 0.2817
Ho6 0.1876 0.3752 0.9469
Ho7 0.8591 0.7182 0.7881
Au10 0.8976 0.7952 0.5959
Zn8 0.3092 0.6184 0.6161
Zn9 0.1729 0.3458 0.6448
Zn10 0.6675 0.3351 0.7817
Au11 0.1024 0.2048 0.0959
Au12 0.5816 0.1631 0.9292
Ho8 0.0520 0.1040 0.7770
```


Computed, not measured: a relaxed BTeSeN2 crystal at the PBE-GGA level of DFT.

Summary:
The value obtained for the offset from the most stable computed form is 331 meV/atom. The size of the total moment is 0.00 μB/cell. The uncorrected formation energy comes out at 1.980 eV/atom. The crystal system is tetragonal.

Geometry as CIF:
```
data_BTeSeN2
_chemical_formula_sum 'B1 Te1 Se1 N2'
_cell_length_a 3.6366
_cell_length_b 3.6366
_cell_length_c 8.0412
_cell_angle_alpha 90.00
_cell_angle_beta 90.00
_cell_angle_gamma 90.00
_symmetry_space_group_name_H-M 'P 1'
_symmetry_Int_Tables_number 1
loop_
_symmetry_equiv_pos_as_xyz
'x,y,z'
loop_
_atom_site_label
_atom_site_fract_x
_atom_site_fract_y
_atom_site_fract_z
N1 0.0000 0.5000 0.0000
B1 0.5000 0.5000 0.5000
N2 0.5000 0.0000 0.0000
Se1 0.0000 0.0000 0.0000
Te1 0.0000 0.0000 0.5000
```


Computed, not measured: a relaxed Mg2NiSb crystal at the PBE-GGA level of DFT.

Summary:
The size of the total moment is 0.00 μB/cell. The uncorrected formation energy comes out at -0.106 eV/atom. The crystal system is tetragonal.

Geometry as CIF:
```
data_Mg2NiSb
_chemical_formula_sum 'Mg2 Ni1 Sb1'
_cell_length_a 5.1882
_cell_length_b 5.1882
_cell_length_c 5.1882
_cell_angle_alpha 133.04
_cell_angle_beta 133.14
_cell_angle_gamma 68.51
_symmetry_space_group_name_H-M 'P 1'
_symmetry_Int_Tables_number 1
loop_
_symmetry_equiv_pos_as_xyz
'x,y,z'
loop_
_atom_site_label
_atom_site_fract_x
_atom_site_fract_y
_atom_site_fract_z
Sb1 0.2500 0.7500 0.5000
Ni1 0.7500 0.2500 0.5000
Mg1 0.0003 0.0003 0.0000
Mg2 0.4997 0.4997 0.0000
```


Computed, not measured: a relaxed Dy3Er4Ga4 crystal at the PBE-GGA level of DFT.

Summary:
The size of the total moment is 0.00 μB/cell. The crystal system is orthorhombic. The formation energy from the elements comes out at -0.37 eV per atom.

Geometry as CIF:
```
data_Dy3Er4Ga4
_chemical_formula_sum 'Dy3 Er4 Ga4'
_cell_length_a 4.9522
_cell_length_b 6.7753
_cell_length_c 9.3381
_cell_angle_alpha 111.27
_cell_angle_beta 105.38
_cell_angle_gamma 90.00
_symmetry_space_group_name_H-M 'P 1'
_symmetry_Int_Tables_number 1
loop_
_symmetry_equiv_pos_as_xyz
'x,y,z'
loop_
_atom_site_label
_atom_site_fract_x
_atom_site_fract_y
_atom_site_fract_z
Ga1 0.5000 0.2002 0.0000
Ga2 0.5000 0.7998 0.0000
Dy1 0.0000 0.5000 0.0000
Dy2 0.0984 0.0984 0.1967
Er1 0.6779 0.4448 0.3559
Ga3 0.1766 0.6766 0.3531
Er2 0.3221 0.0889 0.6441
Ga4 0.8234 0.3234 0.6469
Dy3 0.9016 0.9016 0.8033
Er3 0.6779 0.9111 0.3559
Er4 0.3221 0.5552 0.6441
```


Computed, not measured: a relaxed HfNbGe crystal at the PBE-GGA level of DFT.

Summary:
The size of the total moment is 0.00 μB/cell. The crystal system is monoclinic. The formation energy from the elements comes out at -0.42 eV per atom.

Geometry as CIF:
```
data_HfNbGe
_chemical_formula_sum 'Hf4 Nb4 Ge4'
_cell_length_a 5.5176
_cell_length_b 3.6794
_cell_length_c 11.0834
_cell_angle_alpha 90.00
_cell_angle_beta 91.53
_cell_angle_gamma 90.00
_symmetry_space_group_name_H-M 'P 1'
_symmetry_Int_Tables_number 1
loop_
_symmetry_equiv_pos_as_xyz
'x,y,z'
loop_
_atom_site_label
_atom_site_fract_x
_atom_site_fract_y
_atom_site_fract_z
Nb1 0.3008 0.5000 0.1341
Hf1 0.7613 0.0000 0.2508
Ge1 0.7887 0.5000 0.0758
Hf2 0.0332 0.0000 0.9436
Ge2 0.2702 0.5000 0.8048
Ge3 0.7887 0.0000 0.5758
Hf3 0.7613 0.5000 0.7508
Nb2 0.3008 0.0000 0.6341
Nb3 0.5282 0.5000 0.4449
Ge4 0.2702 0.0000 0.3048
Hf4 0.0332 0.5000 0.4436
Nb4 0.5282 0.0000 0.9449
```


Computed, not measured: a relaxed LiAl8Ag2 crystal at the PBE-GGA level of DFT.

Summary:
The size of the total moment is 0.00 μB/cell. The crystal system is monoclinic. The formation energy from the elements comes out at 0.09 eV per atom.

Geometry as CIF:
```
data_LiAl8Ag2
_chemical_formula_sum 'Li1 Al8 Ag2'
_cell_length_a 4.5195
_cell_length_b 7.0032
_cell_length_c 7.0032
_cell_angle_alpha 71.92
_cell_angle_beta 80.09
_cell_angle_gamma 80.09
_symmetry_space_group_name_H-M 'P 1'
_symmetry_Int_Tables_number 1
loop_
_symmetry_equiv_pos_as_xyz
'x,y,z'
loop_
_atom_site_label
_atom_site_fract_x
_atom_site_fract_y
_atom_site_fract_z
Al1 0.1053 0.7593 0.7593
Al2 0.2073 0.7888 0.3552
Al3 0.7927 0.6448 0.2112
Ag1 0.4493 0.1282 0.1282
Al4 0.3282 0.3767 0.3767
Al5 0.6718 0.6233 0.6233
Al6 0.7927 0.2112 0.6448
Al7 0.2073 0.3552 0.7888
Li1 0.0000 0.0000 0.0000
Al8 0.8947 0.2407 0.2407
Ag2 0.5507 0.8718 0.8718
```


Computed, not measured: a relaxed Si2AsIr crystal at the PBE-GGA level of DFT.

Summary:
The size of the total moment is 0.00 μB/cell. The uncorrected formation energy comes out at 0.034 eV/atom. The crystal system is trigonal.

Geometry as CIF:
```
data_Si2AsIr
_chemical_formula_sum 'Si2 As1 Ir1'
_cell_length_a 7.0837
_cell_length_b 7.0837
_cell_length_c 7.0837
_cell_angle_alpha 26.71
_cell_angle_beta 26.71
_cell_angle_gamma 26.71
_symmetry_space_group_name_H-M 'P 1'
_symmetry_Int_Tables_number 1
loop_
_symmetry_equiv_pos_as_xyz
'x,y,z'
loop_
_atom_site_label
_atom_site_fract_x
_atom_site_fract_y
_atom_site_fract_z
Ir1 0.7500 0.7500 0.7500
Si1 0.4962 0.4962 0.4962
Si2 0.0038 0.0038 0.0038
As1 0.2500 0.2500 0.2500
```


Computed, not measured: a relaxed PmP2Pd6 crystal at the PBE-GGA level of DFT.

Summary:
The value obtained for the offset from the most stable computed form is 0 meV/atom. The size of the total moment is 0.00 μB/cell. The crystal system is tetragonal. The formation energy from the elements comes out at -0.63 eV per atom.

Geometry as CIF:
```
data_PmP2Pd6
_chemical_formula_sum 'Pm1 P2 Pd6'
_cell_length_a 4.1071
_cell_length_b 4.1071
_cell_length_c 8.6653
_cell_angle_alpha 90.00
_cell_angle_beta 90.00
_cell_angle_gamma 90.00
_symmetry_space_group_name_H-M 'P 1'
_symmetry_Int_Tables_number 1
loop_
_symmetry_equiv_pos_as_xyz
'x,y,z'
loop_
_atom_site_label
_atom_site_fract_x
_atom_site_fract_y
_atom_site_fract_z
P1 0.5000 0.5000 0.8710
Pd1 0.0000 0.5000 0.2727
Pd2 0.5000 0.0000 0.2727
Pd3 0.5000 0.5000 0.5000
Pd4 0.0000 0.5000 0.7273
Pm1 0.0000 0.0000 0.0000
Pd5 0.5000 0.0000 0.7273
Pd6 0.0000 0.0000 0.5000
P2 0.5000 0.5000 0.1290
```


Computed, not measured: a relaxed YCrCo2 crystal at the PBE-GGA level of DFT.

Summary:
The value obtained for the offset from the most stable computed form is 307 meV/atom. The size of the total moment is 1.48 μB/cell. The crystal system is tetragonal. The formation energy from the elements comes out at 0.33 eV per atom.

Geometry as CIF:
```
data_YCrCo2
_chemical_formula_sum 'Y1 Cr1 Co2'
_cell_length_a 3.0622
_cell_length_b 3.0622
_cell_length_c 6.5036
_cell_angle_alpha 90.00
_cell_angle_beta 90.00
_cell_angle_gamma 90.00
_symmetry_space_group_name_H-M 'P 1'
_symmetry_Int_Tables_number 1
loop_
_symmetry_equiv_pos_as_xyz
'x,y,z'
loop_
_atom_site_label
_atom_site_fract_x
_atom_site_fract_y
_atom_site_fract_z
Co1 0.0000 0.0000 0.0619
Cr1 0.0000 0.0000 0.4249
Co2 0.5000 0.5000 0.2562
Y1 0.5000 0.5000 0.7570
```


Computed, not measured: a relaxed TcIr2Pt crystal at the PBE-GGA level of DFT.

Summary:
The value obtained for the offset from the most stable computed form is 106 meV/atom. The size of the total moment is 0.00 μB/cell. The crystal system is monoclinic. The formation energy from the elements comes out at -0.03 eV per atom.

Geometry as CIF:
```
data_TcIr2Pt
_chemical_formula_sum 'Tc1 Ir2 Pt1'
_cell_length_a 2.7419
_cell_length_b 4.7799
_cell_length_c 5.4795
_cell_angle_alpha 55.14
_cell_angle_beta 90.00
_cell_angle_gamma 90.00
_symmetry_space_group_name_H-M 'P 1'
_symmetry_Int_Tables_number 1
loop_
_symmetry_equiv_pos_as_xyz
'x,y,z'
loop_
_atom_site_label
_atom_site_fract_x
_atom_site_fract_y
_atom_site_fract_z
Tc1 0.0000 0.0000 0.5000
Pt1 0.5000 0.5000 0.5000
Ir1 0.0000 0.0000 0.0000
Ir2 0.5000 0.5000 0.0000
```


Energy for the records above, in order: -5.685, -7.792, -3.530, -4.011, -3.380, -4.380, -8.632, -3.320, -6.055, -5.821, -7.245, -8.567 eV per atom